This record from Alexandria describes crystalline CaTaGe2O8 at its relaxed geometry. The functional is PBE-GGA.

a = 5.7858 Å, b = 5.7858 Å, c = 5.7858 Å
α = 106.96°, β = 106.96°, γ = 114.61°
Sites, in units of the cell vectors:
Ca  0.0000  0.0000  0.0000
Ta  0.7500  0.2500  0.5000
Ge  0.2500  0.7500  0.5000
Ge  0.5000  0.5000  0.0000
O  0.0435  0.3683  0.3248
O  0.0435  0.7188  0.6752
O  0.1223  0.3277  0.7946
O  0.2812  0.9565  0.3248
O  0.5331  0.3277  0.2054
O  0.6317  0.9565  0.6752
O  0.6723  0.4669  0.7946
O  0.6723  0.8777  0.2054

Output
Space group ... No. 119
Crystal system ... tetragonal
Formation energy (no corrections) ... -2002 meV/atom
VASP energy ... -7.23 eV/atom